Entry 1:
First-principles (PBE) data for LaBeTe2 after structural relaxation, as listed in Alexandria.

Summary:
symmetry	Pm
uncorrected formation energy	-86.3	kJ/mol of atoms

Unit cell a=4.240 b=4.488 c=6.473 alpha=69.72 beta=90.00 gamma=90.00
Positions (direct):
Be: 0.000 0.303 0.518
Te: 0.000 0.109 0.908
Te: 0.500 0.399 0.329
La: 0.500 0.690 0.745

***

Entry 2:
First-principles (PBE) data for LaBeTe2 after structural relaxation, as listed in Alexandria.

Summary:
symmetry	Imm2
uncorrected formation energy	-52.6	kJ/mol of atoms

Unit cell a=8.509 b=8.509 c=8.509 alpha=152.70 beta=152.97 gamma=38.80
Positions (direct):
Be: 0.524 0.524 0.000
Te: 0.018 0.018 0.000
Te: 0.273 0.773 0.500
La: 0.685 0.185 0.500

***

Entry 3:
First-principles (PBE) data for LaBe2Te after structural relaxation, as listed in Alexandria.

Summary:
symmetry	P4mm
uncorrected formation energy	10.9	kJ/mol of atoms

Unit cell a=3.550 b=3.550 c=6.610 alpha=90.00 beta=90.00 gamma=90.00
Positions (direct):
Be: 0.000 0.000 0.035
Be: 0.500 0.500 0.171
Te: 0.500 0.500 0.809
La: 0.000 0.000 0.485

***

Entry 4:
First-principles (PBE) data for LaBeTe after structural relaxation, as listed in Alexandria.

Summary:
excess energy over the best structure of this formula in the dataset	1.48	eV per formula unit
symmetry	F-43m
uncorrected formation energy	0.9	kJ/mol of atoms

Unit cell a=5.138 b=5.138 c=5.138 alpha=60.00 beta=60.00 gamma=60.00
Positions (direct):
Be: 0.500 0.500 0.500
Te: 0.000 0.000 0.000
La: 0.750 0.750 0.750

***

Entry 5:
First-principles (PBE) data for LaBeTe after structural relaxation, as listed in Alexandria.

Summary:
excess energy over the best structure of this formula in the dataset	0.00	eV per formula unit
symmetry	P3m1
uncorrected formation energy	-46.7	kJ/mol of atoms

Unit cell a=4.241 b=4.241 c=4.527 alpha=90.00 beta=90.00 gamma=120.00
Positions (direct):
Be: 0.000 0.000 0.837
Te: 0.333 0.667 0.831
La: 0.667 0.333 0.332

***

Entry 6:
First-principles (PBE) data for La2BeTe after structural relaxation, as listed in Alexandria.

Summary:
excess energy over the best structure of this formula in the dataset	1.52	eV per formula unit
symmetry	P4mm
uncorrected formation energy	-14.9	kJ/mol of atoms

Unit cell a=3.631 b=3.631 c=8.595 alpha=90.00 beta=90.00 gamma=89.97
Positions (direct):
Be: 0.500 0.500 0.693
Te: 0.000 0.000 0.563
La: 0.000 0.000 0.931
La: 0.500 0.500 0.312

***

Entry 7:
First-principles (PBE) data for La2BeTe2 after structural relaxation, as listed in Alexandria.

Summary:
excess energy over the best structure of this formula in the dataset	0.44	eV per formula unit
symmetry	I4/mmm
uncorrected formation energy	-55.0	kJ/mol of atoms

Unit cell a=6.319 b=6.319 c=6.069 alpha=58.63 beta=58.63 gamma=90.00
Positions (direct):
Be: 0.000 0.000 0.000
Te: 0.287 0.287 0.427
Te: 0.713 0.713 0.573
La: 0.750 0.250 0.500
La: 0.250 0.750 0.500

***

Entry 8:
First-principles (PBE) data for LaBeTe2 after structural relaxation, as listed in Alexandria.

Summary:
symmetry	Cm
uncorrected formation energy	-76.7	kJ/mol of atoms

Unit cell a=6.303 b=6.303 c=4.595 alpha=90.17 beta=90.17 gamma=38.76
Positions (direct):
Be: 0.518 0.518 0.765
Te: 0.993 0.993 0.069
Te: 0.707 0.707 0.583
La: 0.282 0.282 0.084

***

Entry 9:
First-principles (PBE) data for La2BeTe after structural relaxation, as listed in Alexandria.

Summary:
excess energy over the best structure of this formula in the dataset	0.01	eV per formula unit
symmetry	R-3m
uncorrected formation energy	-51.2	kJ/mol of atoms

Unit cell a=4.325 b=4.325 c=8.117 alpha=74.56 beta=74.56 gamma=59.98
Positions (direct):
Be: 0.250 0.250 0.250
Te: 0.750 0.750 0.750
La: 0.995 0.995 0.016
La: 0.505 0.505 0.484

***

Entry 10:
First-principles (PBE) data for LaBe3Te after structural relaxation, as listed in Alexandria.

Summary:
excess energy over the best structure of this formula in the dataset	0.00	eV per formula unit
symmetry	Pm-3m
uncorrected formation energy	79.2	kJ/mol of atoms

Unit cell a=4.747 b=4.747 c=4.747 alpha=90.00 beta=90.00 gamma=90.00
Positions (direct):
Be: 0.000 0.500 0.000
Be: 0.000 0.000 0.500
Be: 0.500 0.000 0.000
Te: 0.000 0.000 0.000
La: 0.500 0.500 0.500

***

Entry 11:
First-principles (PBE) data for LaBe2Te after structural relaxation, as listed in Alexandria.

Summary:
symmetry	Pm
uncorrected formation energy	-5.5	kJ/mol of atoms

Unit cell a=3.945 b=4.673 c=4.775 alpha=75.39 beta=90.00 gamma=90.00
Positions (direct):
Be: 0.000 0.076 0.048
Be: 0.500 0.090 0.221
Te: 0.500 0.872 0.789
La: 0.000 0.461 0.442

***

Entry 12:
First-principles (PBE) data for LaThBe after structural relaxation, as listed in Alexandria.

Summary:
symmetry	Cmcm
ΔE_f	0.083	eV/atom

Unit cell a=3.806 b=3.907 c=10.956 alpha=79.73 beta=90.00 gamma=90.00
Positions (direct):
Be: 0.750 0.475 0.050
Be: 0.250 0.525 0.950
La: 0.750 0.314 0.372
La: 0.250 0.686 0.628
Th: 0.750 0.076 0.848
Th: 0.250 0.924 0.152

***

Entry 13:
First-principles (PBE) data for LaTiBe3 after structural relaxation, as listed in Alexandria.

Summary:
excess energy over the best structure of this formula in the dataset	0.00	eV per formula unit
symmetry	Pm-3m
ΔE_f	0.688	eV/atom

Unit cell a=4.592 b=4.592 c=4.592 alpha=90.00 beta=90.00 gamma=90.00
Positions (direct):
Be: 0.000 0.500 0.000
Be: 0.000 0.000 0.500
Be: 0.500 0.000 0.000
Ti: 0.000 0.000 0.000
La: 0.500 0.500 0.500

***

Entry 14:
First-principles (PBE) data for LaTiBe3 after structural relaxation, as listed in Alexandria.

Summary:
excess energy over the best structure of this formula in the dataset	6.28	eV per formula unit
symmetry	Pm-3m
ΔE_f	1.944	eV/atom

Unit cell a=4.749 b=4.749 c=4.749 alpha=90.00 beta=90.00 gamma=90.00
Positions (direct):
Be: 0.000 0.500 0.000
Be: 0.000 0.000 0.500
Be: 0.500 0.000 0.000
Ti: 0.500 0.500 0.500
La: 0.000 0.000 0.000

***

Entry 15:
First-principles (PBE) data for La2TiBe2 after structural relaxation, as listed in Alexandria.

Summary:
excess energy over the best structure of this formula in the dataset	1.88	eV per formula unit
symmetry	I4/mmm
ΔE_f	0.703	eV/atom

Unit cell a=4.354 b=4.354 c=6.588 alpha=70.70 beta=70.70 gamma=90.00
Positions (direct):
Be: 0.416 0.416 0.167
Be: 0.584 0.584 0.833
Ti: 0.000 0.000 0.000
La: 0.750 0.250 0.500
La: 0.250 0.750 0.500

***

What did we get for total energy? Answer: -18.515 -17.117 -15.070 -11.768 -13.248 -17.340 -22.714 -18.116 -18.845 -15.142 -15.751 -15.824 -20.559 -14.279 -21.687 eV per formula unit, in the order shown.